A relaxed structure of Tb4CeHo5. Source: Alexandria, functional GGA-PBE.

## Properties
Symmetry = No. 107
Total DFT energy (no corrections) = -4.47 eV/atom
Volume = 32.2 A^3/atom
Offset from the most stable computed form = 173 meV per atom
ΔE_f = 0.26 eV per atom

Cell: 7.969 7.969 7.969 Å, 97.76 97.76 136.89°
Fractional coordinates of all 10 atoms:
Tb (0.000, 0.325, 0.325)
Tb (0.000, 0.675, 0.675)
Tb (0.325, 0.000, 0.325)
Tb (0.675, 0.000, 0.675)
Ce (0.251, 0.251, 0.000)
Ho (0.311, 0.311, 0.627)
Ho (0.311, 0.684, 0.000)
Ho (0.684, 0.311, 0.000)
Ho (0.684, 0.684, 0.373)
Ho (0.783, 0.783, 0.000)

A relaxed structure of Tb4CeHo2. Source: Alexandria, functional GGA-PBE.

## Properties
Symmetry = No. 65
Total DFT energy (no corrections) = -4.26 eV/atom
Volume = 33.2 A^3/atom
Offset from the most stable computed form = 502 meV per atom
ΔE_f = 0.54 eV per atom

Cell: 6.134 12.827 5.916 Å, 90.00 90.00 90.00°
Fractional coordinates of all 14 atoms:
Tb (0.000, 0.137, 0.000)
Tb (0.000, 0.300, 0.500)
Tb (0.000, 0.700, 0.500)
Tb (0.000, 0.863, 0.000)
Tb (0.500, 0.200, 0.500)
Tb (0.500, 0.363, 0.000)
Tb (0.500, 0.637, 0.000)
Tb (0.500, 0.800, 0.500)
Ce (0.000, 0.000, 0.500)
Ce (0.500, 0.500, 0.500)
Ho (0.000, 0.388, 0.000)
Ho (0.000, 0.612, 0.000)
Ho (0.500, 0.112, 0.000)
Ho (0.500, 0.888, 0.000)